Mn2Zn6Ge: relaxed, PBE-GGA.

Values from the calculation:
Calculated density: 7.4 g/cm3
DOS(E_F): 0.5379 states/eV per atom
Energy of formation: 37.1 meV/atom

Structure (POSCAR):
```
Mn2Zn6Ge
1.0
3.629 0.000 -1.085
-0.588 5.642 -1.967
-0.104 0.177 6.264
Zn Ge Mn
6 1 2
Direct
0.391 0.851 0.783
0.828 0.502 0.657
0.609 0.149 0.217
0.172 0.498 0.343
0.728 0.841 0.456
0.272 0.159 0.544
0.500 0.500 0.000
0.950 0.190 0.900
0.050 0.810 0.100
```